No. 1
RuRhBr | PBE | relaxed Values from VASP.

- raw formation energy (meV per atom) = 775
- space-group type = F-43m

Geometry as Quantum ESPRESSO input:
```
&SYSTEM
  ibrav = 0, nat = 12, ntyp = 3
/
ATOMIC_SPECIES
Ru 101.07 Ru.upf
Rh 102.91 Rh.upf
Br 79.90 Br.upf
ATOMIC_POSITIONS angstrom
Ru 0.000 0.000 0.000
Ru 0.000 3.023 3.023
Ru 3.023 0.000 3.023
Ru 3.023 3.023 0.000
Rh 1.511 1.511 1.511
Rh 1.511 4.534 4.534
Rh 4.534 1.511 4.534
Rh 4.534 4.534 1.511
Br 1.511 1.511 4.534
Br 1.511 4.534 1.511
Br 4.534 1.511 1.511
Br 4.534 4.534 4.534
CELL_PARAMETERS angstrom
6.046 0.000 0.000
0.000 6.046 0.000
0.000 0.000 6.046
```

No. 2
SrZn2Cd | PBE | relaxed Values from VASP.

- space-group type = P4/mmm
- ΔH_f (0 K) (kJ/mol of atoms) = -7.61

Geometry as Quantum ESPRESSO input:
```
&SYSTEM
  ibrav = 0, nat = 4, ntyp = 3
/
ATOMIC_SPECIES
Sr 87.62 Sr.upf
Zn 65.41 Zn.upf
Cd 112.41 Cd.upf
ATOMIC_POSITIONS angstrom
Sr 0.000 0.000 0.000
Zn 1.877 1.877 2.092
Zn 1.877 1.877 4.849
Cd 0.000 0.000 3.470
CELL_PARAMETERS angstrom
3.753 0.000 0.000
0.000 3.753 0.000
0.000 0.000 6.941
```

No. 3
NbSnRu2F | PBE | relaxed Values from VASP.

- raw formation energy (meV per atom) = 789
- space-group type = P4/mmm

Geometry as Quantum ESPRESSO input:
```
&SYSTEM
  ibrav = 0, nat = 5, ntyp = 4
/
ATOMIC_SPECIES
Nb 92.91 Nb.upf
Sn 118.71 Sn.upf
Ru 101.07 Ru.upf
F 19.00 F.upf
ATOMIC_POSITIONS angstrom
Nb 0.000 0.000 0.000
Sn 2.462 2.462 1.980
Ru 0.000 2.462 1.980
Ru 2.462 0.000 1.980
F 2.462 2.462 0.000
CELL_PARAMETERS angstrom
4.925 0.000 0.000
0.000 4.925 0.000
0.000 0.000 3.960
```

No. 4
K4Sm3ScS8 | PBE | relaxed Values from VASP.

- raw formation energy (meV per atom) = -1824
- space-group type = R-3m

Geometry as Quantum ESPRESSO input:
```
&SYSTEM
  ibrav = 0, nat = 16, ntyp = 4
/
ATOMIC_SPECIES
K 39.10 K.upf
Sm 150.36 Sm.upf
Sc 44.96 Sc.upf
S 32.06 S.upf
ATOMIC_POSITIONS angstrom
K 0.000 0.000 0.000
K -2.036 -1.175 7.372
K -2.036 1.175 14.744
K 0.000 2.351 7.372
Sm -4.072 0.000 11.058
Sm -2.036 1.175 3.686
Sm 2.036 1.175 3.686
Sc 0.000 0.000 11.058
S 0.000 0.000 5.218
S -1.942 -1.121 12.531
S 0.000 -2.242 9.584
S -1.942 1.121 9.584
S 1.942 -1.121 12.531
S 0.000 2.242 12.531
S 1.942 1.121 9.584
S 0.000 0.000 16.897
CELL_PARAMETERS angstrom
4.072 2.351 7.372
-4.072 2.351 7.372
0.000 -4.701 7.372
```

No. 5
MnCu | PBE | relaxed Values from VASP.

- space-group type = P6_3/mmc
- ΔH_f (0 K) (kJ/mol of atoms) = 55.24

Geometry as Quantum ESPRESSO input:
```
&SYSTEM
  ibrav = 0, nat = 4, ntyp = 2
/
ATOMIC_SPECIES
Mn 54.94 Mn.upf
Cu 63.55 Cu.upf
ATOMIC_POSITIONS angstrom
Mn 0.000 2.223 1.200
Mn 1.925 1.112 3.601
Cu 0.000 0.000 0.000
Cu 0.000 0.000 2.401
CELL_PARAMETERS angstrom
3.850 0.000 0.000
-1.925 3.335 0.000
0.000 0.000 4.802
```

No. 6
BeTlSe2 | PBE | relaxed Values from VASP.

- raw formation energy (meV per atom) = 458
- space-group type = Fm-3m

Geometry as Quantum ESPRESSO input:
```
&SYSTEM
  ibrav = 0, nat = 16, ntyp = 3
/
ATOMIC_SPECIES
Be 9.01 Be.upf
Tl 204.38 Tl.upf
Se 78.96 Se.upf
ATOMIC_POSITIONS angstrom
Be 0.000 0.000 0.000
Be 0.000 3.493 3.493
Be 3.493 0.000 3.493
Be 3.493 3.493 0.000
Tl 0.000 0.000 3.493
Tl 0.000 3.493 0.000
Tl 3.493 0.000 0.000
Tl 3.493 3.493 3.493
Se 1.746 1.746 1.746
Se 1.746 1.746 5.239
Se 1.746 5.239 1.746
Se 1.746 5.239 5.239
Se 5.239 1.746 1.746
Se 5.239 1.746 5.239
Se 5.239 5.239 1.746
Se 5.239 5.239 5.239
CELL_PARAMETERS angstrom
6.985 0.000 0.000
0.000 6.985 0.000
0.000 0.000 6.985
```